(1)
A plane-wave DFT calculation with GGA-PBE was carried out for DyCdSi after structural relaxation.

Summary:
Total moment, μB per formula unit: 0.00
Energy relative to the elements, uncorrected, meV per atom: -490

a b c (Å): 4.1924 16.6319 3.8089
angles (deg): 90.00 90.00 90.00
Last column: nearest neighbours and their distance in Å.
Space group Cmcm (No. 63)
Asymmetric unit:
Dy 0.0000 0.0898 0.2500  6 Si 2.93-3.07, 1 Cd 3.27
Cd 0.0000 0.2865 0.2500  1 Si 2.80, 4 Cd 3.08
Si 0.0000 0.4549 0.2500  2 Si 2.43

=====

(2)
A plane-wave DFT calculation with GGA-PBE was carried out for Dy5CdSi2 after structural relaxation.

Summary:
Total moment, μB per formula unit: 0.00
Energy relative to the elements, uncorrected, meV per atom: -518

a b c (Å): 7.5953 7.5953 14.3050
angles (deg): 90.00 90.00 90.00
Last column: nearest neighbours and their distance in Å.
Space group I4/mcm (No. 140)
Asymmetric unit:
Dy 0.0000 0.0000 0.0000  4 Si 3.00
Dy 0.1702 0.3298 0.1385  3 Si 2.95-3.02, 2 Cd 3.24
Cd 0.0000 0.0000 0.2500  10 Dy 3.24-3.58
Si 0.1258 0.3742 0.5000  1 Si 2.70, 8 Dy 2.95-3.02